(1)
DFT (PBE-GGA) results for a relaxed structure of Sc4OsRu.

Results
As for the density of states at the Fermi level: 3.43 states/eV per cell. The offset from the most stable computed form is 0.000 eV/atom.

abc: 3.224 3.224 11.617
angles: 90.00 90.00 90.00
Sites, in units of the cell vectors:
Sc1 0.500 0.500 0.868
Sc2 0.000 0.000 0.367
Sc3 0.000 0.000 0.633
Ru1 0.000 0.000 0.000
Os1 0.500 0.500 0.500
Sc4 0.500 0.500 0.132


(2)
DFT (PBE-GGA) results for a relaxed structure of Sc4OsRu2.

Results
As for the density of states at the Fermi level: 4.59 states/eV per cell.

abc: 4.637 4.637 7.501
angles: 72.00 72.00 60.00
Sites, in units of the cell vectors:
Ru1 0.252 0.252 0.245
Ru2 0.748 0.748 0.755
Sc1 0.623 0.623 0.132
Sc2 0.128 0.128 0.617
Sc3 0.872 0.872 0.383
Os1 0.000 0.000 0.000
Sc4 0.377 0.377 0.868


(3)
DFT (PBE-GGA) results for a relaxed structure of ScSnOsRu.

Results
As for the density of states at the Fermi level: 3.85 states/eV per cell.

abc: 4.549 4.549 4.549
angles: 60.00 60.00 60.00
Sites, in units of the cell vectors:
Ru1 0.750 0.750 0.750
Sc1 0.000 0.000 0.000
Sn1 0.500 0.500 0.500
Os1 0.250 0.250 0.250


(4)
DFT (PBE-GGA) results for a relaxed structure of ScTaOsRu2.

Results
As for the density of states at the Fermi level: 5.19 states/eV per cell.

abc: 4.674 4.773 4.674
angles: 90.00 90.00 90.00
Sites, in units of the cell vectors:
Os1 0.000 0.500 0.000
Ru1 0.500 0.000 0.000
Sc1 0.500 0.500 0.500
Ru2 0.000 0.000 0.500
Ta1 0.000 0.000 0.000


(5)
DFT (PBE-GGA) results for a relaxed structure of TbScOsRu.

Results
As for the density of states at the Fermi level: 3.17 states/eV per cell.

abc: 4.687 4.687 4.687
angles: 60.00 60.00 60.00
Sites, in units of the cell vectors:
Os1 0.250 0.250 0.250
Sc1 0.000 0.000 0.000
Ru1 0.750 0.750 0.750
Tb1 0.500 0.500 0.500


(6)
DFT (PBE-GGA) results for a relaxed structure of TmScOsRu.

Results
As for the density of states at the Fermi level: 4.13 states/eV per cell.

abc: 4.646 4.646 4.646
angles: 60.00 60.00 60.00
Sites, in units of the cell vectors:
Sc1 0.000 0.000 0.000
Ru1 0.250 0.250 0.250
Tm1 0.500 0.500 0.500
Os1 0.750 0.750 0.750


(7)
DFT (PBE-GGA) results for a relaxed structure of ScUOsRu.

Results
As for the density of states at the Fermi level: 4.97 states/eV per cell. The offset from the most stable computed form is 0.000 eV/atom.

abc: 3.327 3.327 6.557
angles: 90.00 90.00 90.00
Sites, in units of the cell vectors:
Os1 0.500 0.500 0.105
Sc1 0.000 0.000 0.356
U1 0.000 0.000 0.855
Ru1 0.500 0.500 0.612


(8)
DFT (PBE-GGA) results for a relaxed structure of ScUOsRu.

Results
As for the density of states at the Fermi level: 8.20 states/eV per cell. The offset from the most stable computed form is 0.030 eV/atom.

abc: 4.684 4.684 4.684
angles: 60.00 60.00 60.00
Sites, in units of the cell vectors:
U1 0.000 0.000 0.000
Ru1 0.750 0.750 0.750
Os1 0.250 0.250 0.250
Sc1 0.500 0.500 0.500


For the records above, the corresponding V values read 20.1; 18.6; 16.6; 20.9; 18.2; 17.7; 18.1; 18.2 A^3/atom.
For the records above, the corresponding spin magnetization values read 0.00; 0.00; 0.00; 0.00; 0.00; 0.00; 1.50; 1.54 Bohr magnetons per cell.
For the records above, the corresponding formation energy from the elements values read -252; -233; -118; 500; -103; -132; -126; -114 kJ/mol of formula units.